1.
VASP calculation (PBE) on a relaxed structure of RbTi2AgCl8.

Results
Energy relative to the elements, uncorrected (eV/atom): -1.39
Magnetic moment (μB per formula unit): 2.00
Fermi-level density of states (states/eV/atom): 1.035

a b c (Å): 6.7687 6.7687 9.5444
angles (deg): 90.00 90.00 120.00
Last column: magnetic moment on the atom in μB.
Fractional coordinates of all 12 atoms:
Ti1 0.3333 0.6667 0.7472  0.89
Ti2 0.6667 0.3333 0.2528  0.89
Cl1 0.6912 0.0216 0.3191  -0.01
Cl2 0.6696 0.6912 0.6809  -0.01
Cl3 0.9784 0.6696 0.3191  -0.01
Cl4 0.0216 0.3304 0.6809  -0.01
Cl5 0.3304 0.3088 0.3191  -0.01
Cl6 0.3088 0.9784 0.6809  -0.01
Cl7 0.6667 0.3333 0.0151  -0.01
Cl8 0.3333 0.6667 0.9849  -0.01
Ag1 0.0000 0.0000 0.5000  0.01
Rb1 0.0000 0.0000 0.0000  0.00



2.
VASP calculation (PBE) on a relaxed structure of Nd2Zn2SnPd5.

Results
Calculated formation energy (eV per atom): -0.6818
Magnetic moment (μB per formula unit): 0.00
Fermi-level density of states (states/eV/atom): 0.354

a b c (Å): 3.8285 9.9426 9.9426
angles (deg): 90.00 90.00 90.00
Fractional coordinates of all 20 atoms:
Nd1 0.0000 0.8217 0.6783
Nd2 0.0000 0.3217 0.8217
Nd3 0.0000 0.1783 0.3217
Nd4 0.0000 0.6783 0.1783
Pd1 0.5000 0.2899 0.5653
Pd2 0.5000 0.9347 0.2101
Pd3 0.5000 0.0000 0.5000
Pd4 0.5000 0.5653 0.7101
Pd5 0.5000 0.0653 0.7899
Pd6 0.5000 0.4347 0.2899
Pd7 0.5000 0.5000 0.0000
Pd8 0.5000 0.2101 0.0653
Pd9 0.5000 0.7101 0.4347
Pd10 0.5000 0.7899 0.9347
Zn1 0.0000 0.8819 0.3819
Zn2 0.0000 0.1181 0.6181
Zn3 0.0000 0.6181 0.8819
Zn4 0.0000 0.3819 0.1181
Sn1 0.0000 0.5000 0.5000
Sn2 0.0000 0.0000 0.0000



3.
VASP calculation (PBE) on a relaxed structure of CaAgTeN2.

Results
Energy relative to the elements, uncorrected (eV/atom): 1.24
Magnetic moment (μB per formula unit): 4.45
Fermi-level density of states (states/eV/atom): 0.361

a b c (Å): 4.5328 4.5328 6.4672
angles (deg): 90.00 90.00 90.00
Last column: magnetic moment on the atom in μB.
Fractional coordinates of all 5 atoms:
N1 0.5000 0.0000 0.0000  1.38
N2 0.0000 0.5000 0.0000  1.38
Ag1 0.5000 0.5000 0.5000  0.01
Te1 0.0000 0.0000 0.5000  0.09
Ca1 0.0000 0.0000 0.0000  0.04



4.
VASP calculation (PBE) on a relaxed structure of Pr2NbI.

Results
Energy relative to the elements, uncorrected (eV/atom): 0.36
Magnetic moment (μB per formula unit): 0.50
Fermi-level density of states (states/eV/atom): 1.422

a b c (Å): 3.5305 3.5305 11.3162
angles (deg): 81.03 81.03 60.00
Last column: magnetic moment on the atom in μB.
Fractional coordinates of all 4 atoms:
I1 0.5000 0.5000 0.5000  0.01
Nb1 0.0000 0.0000 0.0000  0.36
Pr1 0.9118 0.9118 0.2646  0.01
Pr2 0.0882 0.0882 0.7354  0.01



5.
VASP calculation (PBE) on a relaxed structure of TlFeTe2.

Results
Energy relative to the elements, uncorrected (eV/atom): 0.47
Magnetic moment (μB per formula unit): 3.47
Fermi-level density of states (states/eV/atom): 1.220

a b c (Å): 5.7954 5.7954 3.2106
angles (deg): 90.00 90.00 90.01
Last column: magnetic moment on the atom in μB.
Fractional coordinates of all 4 atoms:
Te1 0.0000 0.0000 0.0000  0.05
Te2 0.5000 0.5000 0.0000  0.05
Tl1 0.5000 0.0000 0.5000  0.01
Fe1 0.0000 0.5000 0.5000  3.18



6.
VASP calculation (PBE) on a relaxed structure of CsRbHgPb.

Results
Calculated formation energy (eV per atom): -0.1623
Magnetic moment (μB per formula unit): 0.00
Fermi-level density of states (states/eV/atom): 0.479

a b c (Å): 5.4328 5.4328 8.4614
angles (deg): 89.95 108.74 120.08
Fractional coordinates of all 4 atoms:
Cs1 0.3707 0.0503 0.4211
Pb1 0.8327 0.2808 0.1135
Hg1 0.4996 0.6145 0.1141
Rb1 0.9891 0.8589 0.8480



7.
VASP calculation (PBE) on a relaxed structure of SrNdGa3.

Results
Calculated formation energy (eV per atom): -0.5660
Magnetic moment (μB per formula unit): 0.00
Fermi-level density of states (states/eV/atom): 0.501

a b c (Å): 4.3236 4.3679 13.9614
angles (deg): 99.00 90.00 90.00
Fractional coordinates of all 10 atoms:
Ga1 0.2500 0.3879 0.7759
Ga2 0.2500 0.4774 0.9548
Ga3 0.7500 0.5226 0.0452
Ga4 0.2500 0.6613 0.3226
Ga5 0.7500 0.6121 0.2241
Ga6 0.7500 0.3387 0.6774
Nd1 0.7500 0.9336 0.8672
Nd2 0.2500 0.0664 0.1328
Sr1 0.2500 0.7994 0.5988
Sr2 0.7500 0.2006 0.4012



8.
VASP calculation (PBE) on a relaxed structure of Pr5HoEr3.

Results
Calculated formation energy (eV per atom): 0.2671
Magnetic moment (μB per formula unit): 0.00
Fermi-level density of states (states/eV/atom): 1.484

a b c (Å): 6.5089 11.6879 11.5965
angles (deg): 129.04 90.00 106.17
Fractional coordinates of all 18 atoms:
Pr1 0.3977 0.0000 0.7500
Pr2 0.5265 0.6753 0.3850
Pr3 0.1487 0.6753 0.8850
Pr4 0.3474 0.3480 0.9914
Pr5 0.6526 0.6520 0.0086
Pr6 0.4735 0.3247 0.6150
Pr7 0.0006 0.3480 0.4914
Pr8 0.6023 0.0000 0.2500
Pr9 0.9994 0.6520 0.5086
Pr10 0.8513 0.3247 0.1150
Ho1 0.1236 0.0000 0.2500
Ho2 0.8764 0.0000 0.7500
Er1 0.4488 0.3208 0.3079
Er2 0.8720 0.3208 0.8079
Er3 0.0000 0.0000 0.0000
Er4 0.5512 0.6792 0.6921
Er5 0.1280 0.6792 0.1921
Er6 0.0000 0.0000 0.5000



9.
VASP calculation (PBE) on a relaxed structure of Sc3BiRu.

Results
Calculated formation energy (eV per atom): -0.2798
Magnetic moment (μB per formula unit): 0.00
Fermi-level density of states (states/eV/atom): 1.269

a b c (Å): 5.0027 5.0027 5.0027
angles (deg): 90.00 90.00 90.00
Fractional coordinates of all 5 atoms:
Sc1 0.0000 0.0000 0.5000
Sc2 0.0000 0.5000 0.0000
Sc3 0.5000 0.0000 0.0000
Ru1 0.0000 0.0000 0.0000
Bi1 0.5000 0.5000 0.5000



10.
VASP calculation (PBE) on a relaxed structure of Ca2AlTe.

Results
Energy relative to the elements, uncorrected (eV/atom): -0.55
Magnetic moment (μB per formula unit): 0.74
Fermi-level density of states (states/eV/atom): 0.548

a b c (Å): 4.4864 4.4890 6.4464
angles (deg): 90.00 90.00 90.00
Last column: magnetic moment on the atom in μB.
Fractional coordinates of all 4 atoms:
Ca1 0.5000 0.5000 0.3761  0.08
Ca2 0.0000 0.0000 0.8740  0.01
Te1 0.0000 0.0000 0.3740  0.03
Al1 0.5000 0.5000 0.8759  0.07



11.
VASP calculation (PBE) on a relaxed structure of SmTiTl.

Results
Calculated formation energy (eV per atom): 0.0285
Magnetic moment (μB per formula unit): 0.63
Fermi-level density of states (states/eV/atom): 1.369

a b c (Å): 3.4541 3.4541 13.0370
angles (deg): 97.61 97.61 90.00
Last column: magnetic moment on the atom in μB.
Fractional coordinates of all 6 atoms:
Tl1 0.8455 0.8455 0.6910  0.01
Tl2 0.1545 0.1545 0.3090  0.01
Sm1 0.5698 0.5698 0.1396  0.18
Sm2 0.4302 0.4302 0.8604  0.18
Ti1 0.7220 0.7220 0.4441  0.25
Ti2 0.2780 0.2780 0.5559  0.25



12.
VASP calculation (PBE) on a relaxed structure of LiAl4Cu15.

Results
Calculated formation energy (eV per atom): -0.1632
Magnetic moment (μB per formula unit): 0.00
Fermi-level density of states (states/eV/atom): 0.166

a b c (Å): 3.7138 3.7138 17.9815
angles (deg): 90.00 90.00 90.00
Fractional coordinates of all 20 atoms:
Cu1 0.5000 0.0000 0.2983
Cu2 0.5000 0.0000 0.0983
Cu3 0.5000 0.5000 0.1983
Cu4 0.5000 0.0000 0.9017
Cu5 0.0000 0.5000 0.5000
Cu6 0.0000 0.5000 0.2983
Cu7 0.5000 0.5000 0.0000
Cu8 0.5000 0.5000 0.8017
Cu9 0.0000 0.5000 0.9017
Cu10 0.0000 0.5000 0.7017
Cu11 0.5000 0.5000 0.6010
Cu12 0.0000 0.5000 0.0983
Cu13 0.5000 0.0000 0.7017
Cu14 0.5000 0.5000 0.3990
Cu15 0.5000 0.0000 0.5000
Al1 0.0000 0.0000 0.3990
Al2 0.0000 0.0000 0.6010
Al3 0.0000 0.0000 0.1971
Al4 0.0000 0.0000 0.8029
Li1 0.0000 0.0000 0.0000



13.
VASP calculation (PBE) on a relaxed structure of V4CoPt5.

Results
Calculated formation energy (eV per atom): -0.4805
Magnetic moment (μB per formula unit): 1.38
Fermi-level density of states (states/eV/atom): 0.951

a b c (Å): 2.7058 3.8676 13.5012
angles (deg): 90.00 90.00 90.00
Last column: magnetic moment on the atom in μB.
Fractional coordinates of all 10 atoms:
Co1 0.0000 0.0000 0.0000  1.62
Pt1 0.5000 0.5000 0.2996  0.02
Pt2 0.5000 0.5000 0.9014  0.08
Pt3 0.5000 0.5000 0.0986  0.08
Pt4 0.5000 0.5000 0.5000  0.00
Pt5 0.5000 0.5000 0.7004  0.02
V1 0.0000 0.0000 0.5998  0.02
V2 0.0000 0.0000 0.1962  -0.20
V3 0.0000 0.0000 0.8038  -0.20
V4 0.0000 0.0000 0.4002  0.02



14.
VASP calculation (PBE) on a relaxed structure of Nd6DyEr5.

Results
Calculated formation energy (eV per atom): 0.0127
Magnetic moment (μB per formula unit): 0.00
Fermi-level density of states (states/eV/atom): 1.062

a b c (Å): 11.7901 6.2485 6.2480
angles (deg): 60.00 84.95 79.86
Fractional coordinates of all 12 atoms:
Dy1 0.0000 0.0000 0.0000
Er1 0.5000 0.1667 0.6666
Er2 0.0000 0.3333 0.3333
Er3 0.0000 0.6667 0.6667
Er4 0.5000 0.5000 0.0000
Er5 0.5000 0.8333 0.3334
Nd1 0.7496 0.0832 0.3336
Nd2 0.7497 0.7498 0.0000
Nd3 0.7496 0.4168 0.6664
Nd4 0.2504 0.5832 0.3336
Nd5 0.2504 0.9168 0.6664
Nd6 0.2503 0.2502 0.0000



15.
VASP calculation (PBE) on a relaxed structure of YGa3NiRh.

Results
Calculated formation energy (eV per atom): -0.4396
Magnetic moment (μB per formula unit): 0.00
Fermi-level density of states (states/eV/atom): 0.574

a b c (Å): 5.6439 6.4141 6.7602
angles (deg): 118.32 90.00 90.00
Fractional coordinates of all 12 atoms:
Ga1 0.5000 0.6928 0.0000
Ga2 0.0000 0.3072 0.0000
Ga3 0.2500 0.1608 0.3217
Ga4 0.7500 0.8392 0.6783
Ga5 0.5000 0.3072 0.0000
Ga6 0.0000 0.6928 0.0000
Y1 0.7500 0.2734 0.5468
Y2 0.2500 0.7266 0.4532
Rh1 0.7500 0.0511 0.1022
Rh2 0.2500 0.9489 0.8978
Ni1 0.2500 0.3587 0.7174
Ni2 0.7500 0.6413 0.2826



16.
VASP calculation (PBE) on a relaxed structure of AcPm2Pr4Dy.

Results
Calculated formation energy (eV per atom): 0.0205
Magnetic moment (μB per formula unit): 0.00
Fermi-level density of states (states/eV/atom): 1.559

a b c (Å): 5.2608 5.2338 11.7392
angles (deg): 63.50 90.00 90.00
Fractional coordinates of all 8 atoms:
Pr1 0.0000 0.2425 0.2576
Pr2 0.5000 0.2578 0.7423
Pr3 0.0000 0.7575 0.7424
Pr4 0.5000 0.7422 0.2577
Pm1 0.5000 0.0000 0.5000
Pm2 0.0000 0.0000 0.0000
Dy1 0.0000 0.5000 0.5000
Ac1 0.5000 0.5000 0.0000



17.
VASP calculation (PBE) on a relaxed structure of KLiRe2.

Results
Calculated formation energy (eV per atom): 0.6172
Magnetic moment (μB per formula unit): 0.42
Fermi-level density of states (states/eV/atom): 0.843

a b c (Å): 3.1215 3.1213 8.7530
angles (deg): 90.00 90.00 90.00
Last column: magnetic moment on the atom in μB.
Fractional coordinates of all 4 atoms:
Re1 0.0000 0.0000 0.0218  0.04
Re2 0.5000 0.5000 0.1665  0.14
Li1 0.5000 0.5000 0.8281  0.00
K1 0.0000 0.0000 0.4837  0.03



18.
VASP calculation (PBE) on a relaxed structure of Dy2PbS4.

Results
Energy relative to the elements, uncorrected (eV/atom): -1.63
Magnetic moment (μB per formula unit): 0.00
Fermi-level density of states (states/eV/atom): 0.000

a b c (Å): 3.9669 6.8256 13.5625
angles (deg): 90.00 90.00 106.89
Fractional coordinates of all 14 atoms:
S1 0.0489 0.0979 0.2500
S2 0.7681 0.5361 0.1128
S3 0.5000 0.0000 0.5000
S4 0.7681 0.5361 0.3872
S5 0.2319 0.4639 0.6128
S6 0.9511 0.9021 0.7500
S7 0.2319 0.4639 0.8872
S8 0.5000 0.0000 0.0000
Dy1 0.8644 0.7288 0.9325
Dy2 0.1356 0.2712 0.0675
Dy3 0.1356 0.2712 0.4325
Dy4 0.8644 0.7288 0.5675
Pb1 0.3945 0.7891 0.2500
Pb2 0.6055 0.2109 0.7500